[1]
Entry from Alexandria via LeMat-Bulk: a relaxed structure of MgSb4Au (GGA-PBEsol).

Space group: F-43m
Formation energy without anion corrections (eV/atom): 0.367

POSCAR file:
```
MgSb4Au
1.0
6.089 0.000 0.000
3.045 5.274 0.000
3.045 1.758 4.972
Sb Au Mg
4 1 1
direct
0.376 0.872 0.376 Sb
0.376 0.376 0.376 Sb
0.872 0.376 0.376 Sb
0.376 0.376 0.872 Sb
0.750 0.750 0.750 Au
0.000 0.000 0.000 Mg
```

[2]
Entry from Alexandria via LeMat-Bulk: a relaxed structure of Ca2CrPb (GGA-PBEsol).

Space group: P4mm
E_form (eV/atom): 0.211

POSCAR file:
```
Ca2CrPb
1.0
3.716 0.000 0.000
0.000 3.716 0.000
0.000 0.000 8.294
Pb Ca Cr
1 2 1
direct
0.500 0.500 0.703 Pb
0.000 0.000 0.950 Ca
0.500 0.500 0.302 Ca
0.000 0.000 0.545 Cr
```

[3]
Entry from Alexandria via LeMat-Bulk: a relaxed structure of Li2TiV3O8 (GGA-PBEsol).

Space group: P6_3mc
Formation energy without anion corrections (eV/atom): -2.480
Energy relative to the lowest polymorph listed for this composition (meV/atom): 9

POSCAR file:
```
Li2TiV3O8
1.0
-3.012 -4.868 0.299
1.485 -4.063 3.762
-5.700 3.926 6.489
V O Li Ti
6 16 4 2
direct
0.177 0.176 0.285 V
0.177 0.647 0.285 V
0.823 0.353 0.785 V
0.353 0.824 0.785 V
0.823 0.824 0.785 V
0.647 0.176 0.285 V
0.518 0.518 0.657 O
0.833 0.833 0.400 O
0.000 0.000 0.196 O
0.964 0.518 0.657 O
0.667 0.667 0.906 O
0.518 0.964 0.657 O
0.833 0.334 0.400 O
0.333 0.333 0.406 O
0.665 0.167 0.900 O
0.036 0.482 0.157 O
0.167 0.666 0.900 O
0.335 0.833 0.400 O
0.482 0.482 0.157 O
0.167 0.167 0.900 O
0.482 0.036 0.157 O
0.000 0.000 0.696 O
0.000 0.000 0.006 Li
0.667 0.667 0.108 Li
0.000 0.000 0.506 Li
0.333 0.333 0.608 Li
0.667 0.666 0.505 Ti
0.333 0.334 0.005 Ti
```

[4]
Entry from Alexandria via LeMat-Bulk: a relaxed structure of AsRuCl2 (GGA-PBEsol).

Space group: R-3m
Formation energy without anion corrections (eV/atom): 0.354
Energy relative to the lowest polymorph listed for this composition (meV/atom): 664

POSCAR file:
```
AsRuCl2
1.0
2.947 0.000 0.000
1.474 2.552 0.000
1.474 0.851 9.102
As Ru Cl
1 1 2
direct
0.500 0.500 0.500 As
0.000 0.000 0.000 Ru
0.919 0.919 0.242 Cl
0.081 0.081 0.758 Cl
```

| no. | theoretical density (g/cm³) |
| --- | --- |
| 1 | 7.4 |
| 2 | 4.9 |
| 3 | 4.2 |
| 4 | 6.0 |